Material: PmMnWO6
Method: DFT, PBE+U
State: optimized geometry

Cell: 4.982 4.982 9.618 Å, 90.00 90.00 90.00°
Space group P4_2nm (No. 102)
Inequivalent atoms, fractional coordinates:
Pm1 0.000 0.000 0.000 (multiplicity 2)
Mn1 0.000 0.000 0.332 (multiplicity 2)
W1 0.000 0.000 0.664 (multiplicity 2)
O1 0.171 0.171 0.494 (multiplicity 4)
O2 0.195 0.195 0.797 (multiplicity 4)
O3 0.217 0.217 0.176 (multiplicity 4)

Computed properties:
**DFT total energy**: -7.717 eV/atom